<a>
Below is crystalline Ho3TcC3 at its relaxed geometry, with properties calculated at the PBE-GGA level.

The magnetization comes out at 0.03 μB/f.u. Its density of states at the Fermi level is 11.61 states/eV/cell.

The space group is P6_3/m (No. 176) and the conventional cell measures 7.4451, 7.4451 and 5.0239 Å, with angles of 90.00, 90.00 and 120.00 degrees. The inequivalent atoms are Ho at (0.0877, 0.7232, 0.2500), Tc at (0.3333, 0.6667, 0.7500) and C at (0.0924, 0.6986, 0.7500).


<b>
Below is crystalline Ho3TcC3 at its relaxed geometry, with properties calculated at the PBE-GGA level.

The magnetization comes out at 0.00 μB/f.u. Its density of states at the Fermi level is 13.71 states/eV/cell.

The space group is Cmcm (No. 63) and the conventional cell measures 8.671, 10.396 and 5.104 Å, with angles of 90.00, 90.00 and 90.00 degrees. The inequivalent atoms are Ho at (0.000, 0.108, 0.250), Ho at (0.214, 0.381, 0.250), Tc at (0.000, 0.310, 0.750), C at (0.000, 0.123, 0.750) and C at (0.208, 0.378, 0.750).


Quick one: most stable of them? <b>


<a>
Below is crystalline Ho3TeC at its relaxed geometry, with properties calculated at the PBE-GGA level.

The magnetization comes out at 0.00 μB/f.u. Its density of states at the Fermi level is 15.47 states/eV/cell.

The space group is Cmc2_1 (No. 36) and the conventional cell measures 3.747, 19.175 and 7.346 Å, with angles of 90.00, 90.00 and 90.00 degrees. The inequivalent atoms are Ho at (0.000, 0.076, 0.000), Ho at (0.000, 0.265, 0.601), Ho at (0.000, 0.400, 0.879), Te at (0.000, 0.346, 0.252) and C at (0.000, 0.157, 0.234).


<b>
Below is crystalline Ho3TeC at its relaxed geometry, with properties calculated at the PBE-GGA level.

The magnetization comes out at 0.00 μB/f.u. Its density of states at the Fermi level is 3.38 states/eV/cell.

The space group is Pm-3m (No. 221) and the conventional cell measures 4.871, 4.871 and 4.871 Å, with angles of 90.00, 90.00 and 90.00 degrees. The inequivalent atoms are Ho at (0.000, 0.000, 0.500), Te at (0.500, 0.500, 0.500) and C at (0.000, 0.000, 0.000).


Quick one: most stable of them? <b>


<a>
Below is crystalline Ho4TeC at its relaxed geometry, with properties calculated at the PBE-GGA level.

The magnetization comes out at 0.00 μB/f.u. Its density of states at the Fermi level is 27.10 states/eV/cell.

The space group is C2/c (No. 15) and the conventional cell measures 8.307, 14.083 and 6.310 Å, with angles of 90.00, 122.42 and 90.00 degrees. The inequivalent atoms are Ho at (0.146, 0.201, 0.167), Ho at (0.207, 0.052, 0.698), Te at (0.000, 0.396, 0.750) and C at (0.000, 0.065, 0.250).


<b>
Below is crystalline Ho4TeC at its relaxed geometry, with properties calculated at the PBE-GGA level.

The magnetization comes out at 0.00 μB/f.u. Its density of states at the Fermi level is 17.01 states/eV/cell.

The space group is C2/c (No. 15) and the conventional cell measures 8.134, 11.323 and 6.546 Å, with angles of 90.00, 101.31 and 90.00 degrees. The inequivalent atoms are Ho at (0.095, 0.140, 0.041), Ho at (0.196, 0.397, 0.412), Te at (0.000, 0.367, 0.750) and C at (0.000, 0.011, 0.750).


Quick one: most stable of them? <a>


<a>
Below is crystalline HoThC at its relaxed geometry, with properties calculated at the PBE-GGA level.

The magnetization comes out at 0.00 μB/f.u. Its density of states at the Fermi level is 4.83 states/eV/cell.

The space group is I4mm (No. 107) and the conventional cell measures 3.248, 3.248 and 11.998 Å, with angles of 90.00, 90.00 and 90.00 degrees. The inequivalent atoms are Ho at (0.000, 0.000, 0.000), Th at (0.000, 0.000, 0.763) and C at (0.000, 0.000, 0.375).


<b>
Below is crystalline HoThC at its relaxed geometry, with properties calculated at the PBE-GGA level.

The magnetization comes out at 0.00 μB/f.u. Its density of states at the Fermi level is 11.44 states/eV/cell.

The space group is P2_1/c (No. 14) and the conventional cell measures 6.275, 7.180 and 6.222 Å, with angles of 90.00, 90.33 and 90.00 degrees. The inequivalent atoms are Ho at (0.215, 0.124, 0.420), Th at (0.232, 0.626, 0.414) and C at (0.003, 0.625, 0.746).


Quick one: most stable of them? <b>


<a>
Below is crystalline HoThC at its relaxed geometry, with properties calculated at the PBE-GGA level.

The magnetization comes out at 0.00 μB/f.u. Its density of states at the Fermi level is 3.13 states/eV/cell.

The space group is P3m1 (No. 156) and the conventional cell measures 3.5896, 3.5896 and 6.4013 Å, with angles of 90.00, 90.00 and 120.00 degrees. The inequivalent atoms are Ho at (0.0000, 0.0000, 0.0000), Th at (0.3333, 0.6667, 0.4354) and C at (0.6667, 0.3333, 0.2070).


<b>
Below is crystalline HoThC at its relaxed geometry, with properties calculated at the PBE-GGA level.

The magnetization comes out at 0.00 μB/f.u. Its density of states at the Fermi level is 10.61 states/eV/cell.

The space group is Cmc2_1 (No. 36) and the conventional cell measures 3.898, 13.153 and 5.996 Å, with angles of 90.00, 90.00 and 90.00 degrees. The inequivalent atoms are Ho at (0.000, 0.043, 0.000), Th at (0.000, 0.310, 0.994) and C at (0.000, 0.164, 0.725).


Quick one: most stable of them? <a>


<a>
Below is crystalline HoTh3C3 at its relaxed geometry, with properties calculated at the PBE-GGA level.

The magnetization comes out at 0.00 μB/f.u. Its density of states at the Fermi level is 4.53 states/eV/cell.

The space group is Pm-3m (No. 221) and the conventional cell measures 5.215, 5.215 and 5.215 Å, with angles of 90.00, 90.00 and 90.00 degrees. The inequivalent atoms are Ho at (0.000, 0.000, 0.000), Th at (0.000, 0.500, 0.500) and C at (0.000, 0.000, 0.500).


<b>
Below is crystalline HoTh3C3 at its relaxed geometry, with properties calculated at the PBE-GGA level.

The magnetization comes out at 0.00 μB/f.u. Its density of states at the Fermi level is 19.65 states/eV/cell.

The space group is Cmcm (No. 63) and the conventional cell measures 8.374, 14.488 and 5.372 Å, with angles of 90.00, 90.00 and 90.00 degrees. The inequivalent atoms are Ho at (0.000, 0.167, 0.250), Th at (0.000, 0.329, 0.750), Th at (0.243, 0.085, 0.750), C at (0.000, 0.336, 0.250) and C at (0.246, 0.418, 0.750).


Quick one: most stable of them? <a>


<a>
Below is crystalline HoTiC at its relaxed geometry, with properties calculated at the PBE-GGA level.

The magnetization comes out at 0.00 μB/f.u. Its density of states at the Fermi level is 10.96 states/eV/cell.

The space group is Fmm2 (No. 42) and the conventional cell measures 3.464, 5.257 and 11.097 Å, with angles of 90.00, 90.00 and 90.00 degrees. The inequivalent atoms are Ho at (0.000, 0.000, 0.000), Ti at (0.000, 0.000, 0.264) and C at (0.000, 0.000, 0.662).


<b>
Below is crystalline HoTiC at its relaxed geometry, with properties calculated at the PBE-GGA level.

The magnetization comes out at 0.00 μB/f.u. Its density of states at the Fermi level is 3.86 states/eV/cell.

The space group is P3m1 (No. 156) and the conventional cell measures 3.3079, 3.3079 and 5.5364 Å, with angles of 90.00, 90.00 and 120.00 degrees. The inequivalent atoms are Ho at (0.0000, 0.0000, 0.0000), Ti at (0.6667, 0.3333, 0.4516) and C at (0.3333, 0.6667, 0.2833).


Quick one: most stable of them? <b>


<a>
Below is crystalline HoUC at its relaxed geometry, with properties calculated at the PBE-GGA level.

The magnetization comes out at 2.04 μB/f.u. Its density of states at the Fermi level is 4.98 states/eV/cell.

The space group is P3m1 (No. 156) and the conventional cell measures 3.3718, 3.3718 and 6.1729 Å, with angles of 90.00, 90.00 and 120.00 degrees. The inequivalent atoms are Ho at (0.0000, 0.0000, 0.0000), U at (0.3333, 0.6667, 0.5386) and C at (0.6667, 0.3333, 0.7545).


<b>
Below is crystalline HoUC at its relaxed geometry, with properties calculated at the PBE-GGA level.

The magnetization comes out at 0.59 μB/f.u. Its density of states at the Fermi level is 9.33 states/eV/cell.

The space group is P2_1/m (No. 11) and the conventional cell measures 5.397, 3.412 and 5.966 Å, with angles of 90.00, 98.57 and 90.00 degrees. The inequivalent atoms are Ho at (0.231, 0.250, 0.441), U at (0.295, 0.750, 0.960) and C at (0.021, 0.250, 0.793).


<c>
Below is crystalline HoUC at its relaxed geometry, with properties calculated at the PBE-GGA level.

The magnetization comes out at 0.47 μB/f.u. Its density of states at the Fermi level is 9.14 states/eV/cell.

The space group is I4mm (No. 107) and the conventional cell measures 3.066, 3.066 and 11.530 Å, with angles of 90.00, 90.00 and 90.00 degrees. The inequivalent atoms are Ho at (0.000, 0.000, 0.000), U at (0.000, 0.000, 0.250) and C at (0.000, 0.000, 0.655).


Quick one: most stable of them? <b>


<a>
Below is crystalline HoWC2 at its relaxed geometry, with properties calculated at the PBE-GGA level.

The magnetization comes out at 0.00 μB/f.u. Its density of states at the Fermi level is 4.53 states/eV/cell.

The space group is R-3m (No. 166, hexagonal axes) and the conventional cell measures 3.2268, 3.2268 and 16.5931 Å, with angles of 90.00, 90.00 and 120.00 degrees. The inequivalent atoms are Ho at (0.0000, 0.0000, 0.0000), W at (0.0000, 0.0000, 0.5000) and C at (0.0000, 0.0000, 0.2384).


<b>
Below is crystalline HoWC2 at its relaxed geometry, with properties calculated at the PBE-GGA level.

The magnetization comes out at 0.00 μB/f.u. Its density of states at the Fermi level is 5.32 states/eV/cell.

The space group is Pnma (No. 62) and the conventional cell measures 5.712, 3.369 and 10.798 Å, with angles of 90.00, 90.00 and 90.00 degrees. The inequivalent atoms are Ho at (0.086, 0.250, 0.137), W at (0.097, 0.750, 0.390), C at (0.160, 0.250, 0.753) and C at (0.225, 0.250, 0.485).


<c>
Below is crystalline HoWC2 at its relaxed geometry, with properties calculated at the PBE-GGA level.

The magnetization comes out at 0.00 μB/f.u. Its density of states at the Fermi level is 7.14 states/eV/cell.

The space group is Pnma (No. 62) and the conventional cell measures 5.195, 3.406 and 13.235 Å, with angles of 90.00, 90.00 and 90.00 degrees. The inequivalent atoms are Ho at (0.239, 0.250, 0.069), W at (0.214, 0.750, 0.329), C at (0.157, 0.250, 0.687) and C at (0.249, 0.750, 0.919).


Quick one: most stable of them? <b>


<a>
Below is crystalline YHoC at its relaxed geometry, with properties calculated at the PBE-GGA level.

The magnetization comes out at 0.15 μB/f.u. Its density of states at the Fermi level is 2.30 states/eV/cell.

The space group is P3m1 (No. 156) and the conventional cell measures 3.5771, 3.5771 and 6.2279 Å, with angles of 90.00, 90.00 and 120.00 degrees. The inequivalent atoms are Y at (0.0000, 0.0000, 0.0000), Ho at (0.3333, 0.6667, 0.4330) and C at (0.6667, 0.3333, 0.2214).


<b>
Below is crystalline YHoC at its relaxed geometry, with properties calculated at the PBE-GGA level.

The magnetization comes out at 0.40 μB/f.u. Its density of states at the Fermi level is 7.45 states/eV/cell.

The space group is C2/m (No. 12) and the conventional cell measures 12.414, 3.597 and 6.225 Å, with angles of 90.00, 99.70 and 90.00 degrees. The inequivalent atoms are Y at (0.111, 0.000, 0.371), Ho at (0.109, 0.500, 0.870), C at (0.000, 0.000, 0.000) and C at (0.000, 0.500, 0.500).


Quick one: most stable of them? <b>


<a>
Below is crystalline YHo2C at its relaxed geometry, with properties calculated at the PBE-GGA level.

The magnetization comes out at 0.57 μB/f.u. Its density of states at the Fermi level is 14.49 states/eV/cell.

The space group is R-3m (No. 166, hexagonal axes) and the conventional cell measures 3.5263, 3.5263 and 28.7757 Å, with angles of 90.00, 90.00 and 120.00 degrees. The inequivalent atoms are Y at (0.0000, 0.0000, 0.0000), Ho at (0.0000, 0.0000, 0.1203) and C at (0.0000, 0.0000, 0.5000).


<b>
Below is crystalline YHo2C at its relaxed geometry, with properties calculated at the PBE-GGA level.

The magnetization comes out at 0.00 μB/f.u. Its density of states at the Fermi level is 3.62 states/eV/cell.

The space group is P-3m1 (No. 164) and the conventional cell measures 3.5738, 3.5738 and 9.0491 Å, with angles of 90.00, 90.00 and 120.00 degrees. The inequivalent atoms are Y at (0.0000, 0.0000, 0.0000), Ho at (0.3333, 0.6667, 0.6480) and C at (0.0000, 0.0000, 0.5000).


Quick one: most stable of them? <b>